(1)
Here is an optimized crystal structure of SeCl2O from Alexandria. Energies are from PBE.

Values from the calculation:
**Crystal system**: tetragonal
**Symmetry**: I-42d
**Formation energy from raw total energies**: 0.899 eV per atom
**Total magnetic moment**: 0.00 μB/cell

a b c (Å): 6.675 6.675 5.811
angles (deg): 54.95 54.95 90.00
Atoms (fractional coordinates):
O 0.500 0.500 0.000
O 0.250 0.750 0.500
Se 0.000 0.000 0.000
Se 0.750 0.250 0.500
Cl 0.610 0.125 0.250
Cl 0.140 0.625 0.250
Cl 0.375 0.390 0.750
Cl 0.875 0.860 0.750

***

(2)
Here is an optimized crystal structure of Se2ClO2 from Alexandria. Energies are from PBE.

Values from the calculation:
**Crystal system**: monoclinic
**Symmetry**: C2/m
**Formation energy from raw total energies**: -0.173 eV per atom
**Total magnetic moment**: 0.00 μB/cell

a b c (Å): 4.847 4.847 6.270
angles (deg): 96.68 96.68 129.02
Atoms (fractional coordinates):
Se 0.666 0.666 0.353
Se 0.334 0.334 0.647
Cl 0.000 0.000 0.000
O 0.137 0.863 0.500
O 0.863 0.137 0.500

***

(3)
Here is an optimized crystal structure of Se2Cl2O5 from Alexandria. Energies are from PBE.

Values from the calculation:
**Crystal system**: tetragonal
**Symmetry**: I4/mmm
**Formation energy from raw total energies**: 0.108 eV per atom
**Total magnetic moment**: 0.00 μB/cell

a b c (Å): 10.981 10.981 10.981
angles (deg): 160.58 160.58 27.60
Atoms (fractional coordinates):
Se 0.085 0.085 0.000
Se 0.915 0.915 0.000
Cl 0.195 0.195 0.000
Cl 0.805 0.805 0.000
O 0.401 0.901 0.500
O 0.901 0.401 0.500
O 0.599 0.099 0.500
O 0.099 0.599 0.500
O 0.000 0.000 0.000

***

(4)
Here is an optimized crystal structure of Se3ClO from Alexandria. Energies are from PBE.

Values from the calculation:
**Energy above the lowest structure with this stoichiometry**: 859 meV/atom
**Crystal system**: cubic
**Symmetry**: Pm-3m
**Formation energy from raw total energies**: 1.574 eV per atom
**Total magnetic moment**: 0.00 μB/cell

a b c (Å): 4.935 4.935 4.935
angles (deg): 90.00 90.00 90.00
Atoms (fractional coordinates):
O 0.500 0.500 0.500
Se 0.000 0.500 0.000
Se 0.000 0.000 0.500
Se 0.500 0.000 0.000
Cl 0.000 0.000 0.000

***

(5)
Here is an optimized crystal structure of Se3ClO from Alexandria. Energies are from PBE.

Values from the calculation:
**Energy above the lowest structure with this stoichiometry**: 0 meV/atom
**Crystal system**: cubic
**Symmetry**: Pm-3m
**Formation energy from raw total energies**: 0.716 eV per atom
**Total magnetic moment**: 0.00 μB/cell

a b c (Å): 4.568 4.568 4.568
angles (deg): 90.00 90.00 90.00
Atoms (fractional coordinates):
O 0.000 0.000 0.000
Se 0.000 0.500 0.000
Se 0.000 0.000 0.500
Se 0.500 0.000 0.000
Cl 0.500 0.500 0.500

***

(6)
Here is an optimized crystal structure of SeCl2O from Alexandria. Energies are from PBE.

Values from the calculation:
**Crystal system**: trigonal
**Symmetry**: R-3m
**Formation energy from raw total energies**: 0.682 eV per atom
**Total magnetic moment**: 2.07 μB/cell

a b c (Å): 8.301 8.301 8.301
angles (deg): 24.32 24.32 24.32
Last column: magnetic moment on the atom in μB.
Atoms (fractional coordinates):
O 0.500 0.500 0.500  1.46
Se 0.000 0.000 0.000  -0.15
Cl 0.904 0.904 0.904  0.23
Cl 0.096 0.096 0.096  0.23

***

(7)
Here is an optimized crystal structure of SeCl2O from Alexandria. Energies are from PBE.

Values from the calculation:
**Crystal system**: cubic
**Symmetry**: Fm-3m
**Formation energy from raw total energies**: 1.023 eV per atom
**Total magnetic moment**: 0.00 μB/cell

a b c (Å): 4.482 4.482 4.482
angles (deg): 60.00 60.00 60.00
Atoms (fractional coordinates):
O 0.000 0.000 0.000
Se 0.500 0.500 0.500
Cl 0.250 0.250 0.250
Cl 0.750 0.750 0.750

***

(8)
Here is an optimized crystal structure of SeCl2O from Alexandria. Energies are from PBE.

Values from the calculation:
**Crystal system**: triclinic
**Symmetry**: P1
**Formation energy from raw total energies**: -0.480 eV per atom
**Total magnetic moment**: 0.00 μB/cell

a b c (Å): 8.426 4.568 6.407
angles (deg): 120.12 137.18 77.66
Atoms (fractional coordinates):
Se 0.576 0.298 0.998
Cl 0.174 0.074 0.547
Cl 0.633 0.534 0.458
O 0.617 0.630 0.997

***

Question: Look up the total magnetic moment of the first one.
Answer: 0.00 μB/cell